# 1
The following is a PBE calculation of KGa6Ag2 after structural relaxation, from the Alexandria database.

It has space group Immm (No. 71), with a = 4.4082 Å, b = 7.3094 Å, c = 12.1091 Å, α = 90.00°, β = 90.00° and γ = 90.00°. The asymmetric unit holds K at (0.0000, 0.0000, 0.0000), Ga at (0.0000, 0.1745, 0.5000), Ga at (0.0000, 0.2994, 0.3042) and Ag at (0.0000, 0.5000, 0.1172).

The density is 5.73 Mg/m³. The calculated formation energy comes out at -0.027 eV/atom. The calculated volume is 390 Å³ per cell.

# 2
The following is a PBE calculation of Lu2Ni3B6 after structural relaxation, from the Alexandria database.

It has space group Cmmm (No. 65), with a = 7.6377 Å, b = 8.5729 Å, c = 3.4325 Å, α = 90.00°, β = 90.00° and γ = 90.00°. The asymmetric unit holds Lu at (0.0000, 0.2244, 0.0000), Ni at (0.0000, 0.5000, 0.5000), Ni at (0.2280, 0.5000, 0.0000), B at (0.1121, 0.0000, 0.5000) and B at (0.2345, 0.3492, 0.5000).

The density is 8.73 Mg/m³. The calculated formation energy comes out at -0.596 eV/atom. The calculated volume is 225 Å³ per cell.

# 3
The following is a PBE calculation of Pr9NdSc2 after structural relaxation, from the Alexandria database.

It has space group P4/mmm (No. 123), with a = 5.1321 Å, b = 5.1321 Å, c = 15.4576 Å, α = 90.00°, β = 90.00° and γ = 90.00°. The asymmetric unit holds Pr at (0.0000, 0.0000, 0.0000), Pr at (0.0000, 0.0000, 0.3370), Pr at (0.0000, 0.5000, 0.1729), Pr at (0.0000, 0.5000, 0.5000), Nd at (0.5000, 0.5000, 0.0000) and Sc at (0.5000, 0.5000, 0.3364).

The density is 6.13 Mg/m³. The calculated formation energy comes out at 0.034 eV/atom. The calculated volume is 407 Å³ per cell.

# 4
The following is a PBE calculation of Nb4GaC2 after structural relaxation, from the Alexandria database.

It has space group Cmcm (No. 63), with a = 3.3146 Å, b = 10.6552 Å, c = 11.2518 Å, α = 90.00°, β = 90.00° and γ = 90.00°. The asymmetric unit holds Nb at (0.0000, 0.0000, 0.0000), Nb at (0.0000, 0.2619, 0.1075), Nb at (0.0000, 0.4186, 0.7500), Ga at (0.0000, 0.1074, 0.7500) and C at (0.0000, 0.3643, 0.5614).

The excess energy over the best structure of this formula in the dataset is 0.0 meV/atom. The density is 7.78 Mg/m³. The calculated formation energy comes out at -0.494 eV/atom. The calculated volume is 397 Å³ per cell.

# 5
The following is a PBE calculation of PaBeZnPt3 after structural relaxation, from the Alexandria database.

It has space group Cmcm (No. 63), with a = 6.8491 Å, b = 11.4184 Å, c = 5.4584 Å, α = 90.00°, β = 90.00° and γ = 90.00°. The asymmetric unit holds Pa at (0.0000, 0.1972, 0.2500), Be at (0.0000, 0.1145, 0.7500), Zn at (0.0000, 0.4565, 0.2500), Pt at (0.0000, 0.3088, 0.7500) and Pt at (0.2008, 0.0000, 0.0000).

The density is 13.86 Mg/m³. The calculated formation energy comes out at -0.554 eV/atom. The calculated volume is 427 Å³ per cell.

# 6
The following is a PBE calculation of B4C after structural relaxation, from the Alexandria database.

It has space group I-4m2 (No. 119), with a = 2.3608 Å, b = 2.3608 Å, c = 24.6676 Å, α = 90.00°, β = 90.00° and γ = 90.00°. The asymmetric unit holds B at (0.0000, 0.0000, 0.0000), B at (0.0000, 0.0000, 0.1958), B at (0.0000, 0.0000, 0.4116), B at (0.0000, 0.5000, 0.1426), B at (0.0000, 0.5000, 0.7500) and C at (0.0000, 0.5000, 0.5443).

The excess energy over the best structure of this formula in the dataset is 554.4 meV/atom. The density is 2.67 Mg/m³. The calculated formation energy comes out at 0.452 eV/atom. The calculated volume is 137 Å³ per cell.